Entry from Alexandria: a relaxed structure of UAlCo (PBE).

The structure belongs to space group Amm2 (No. 38); the cell edges are 7.911, 5.273 and 9.206 Å and the angles 90.00°, 90.00° and 90.00°. The asymmetric unit holds U at (0.164, 0.000, 0.000), U at (0.304, 0.000, 0.345), Al at (0.235, 0.000, 0.677), Al at (0.500, 0.244, 0.090), Co at (0.000, 0.000, 0.503), Co at (0.000, 0.237, 0.260) and Co at (0.500, 0.000, 0.846).

The crystal system is orthorhombic. The formation energy from the elements comes out at -0.26 eV per atom.

***

Entry from Alexandria: a relaxed structure of Ca2USi4Pt3 (PBE).

The structure belongs to space group P-4m2 (No. 115); the cell edges are 4.197, 4.197 and 11.152 Å and the angles 90.00°, 90.00° and 90.00°. The asymmetric unit holds Ca at (0.000, 0.500, 0.231), U at (0.000, 0.000, 0.500), Si at (0.000, 0.000, 0.000), Si at (0.000, 0.500, 0.669), Si at (0.500, 0.500, 0.000), Pt at (0.000, 0.500, 0.887) and Pt at (0.500, 0.500, 0.500).

The formation energy from raw total energies comes out at -0.669 eV/atom. The crystal system is tetragonal.

***

Entry from Alexandria: a relaxed structure of CaUCuSe4 (PBE).

The structure belongs to space group P2_1/m (No. 11); the cell edges are 7.040, 5.810 and 8.384 Å and the angles 90.00°, 107.38° and 90.00°. The asymmetric unit holds Ca at (0.232, 0.250, 0.437), U at (0.234, 0.250, 0.938), Cu at (0.243, 0.750, 0.184), Se at (0.062, 0.750, 0.380), Se at (0.071, 0.750, 0.895) and Se at (0.479, 0.510, 0.761).

The formation energy from raw total energies comes out at -1.069 eV/atom. The crystal system is monoclinic.

***

Entry from Alexandria: a relaxed structure of MgTlAgSb (PBE).

The structure belongs to space group F-43m (No. 216); the cell edges are 7.304, 7.304 and 7.304 Å and the angles 90.00°, 90.00° and 90.00°. The asymmetric unit holds Mg at (0.000, 0.000, 0.000), Tl at (0.250, 0.250, 0.750), Ag at (0.000, 0.000, 0.500) and Sb at (0.250, 0.250, 0.250).

The formation energy from raw total energies comes out at -0.004 eV/atom. The crystal system is cubic.

***

Entry from Alexandria: a relaxed structure of TaRu3I (PBE).

The structure belongs to space group Pm-3m (No. 221); the cell edges are 4.825, 4.825 and 4.825 Å and the angles 90.00°, 90.00° and 90.00°. The asymmetric unit holds Ta at (0.000, 0.000, 0.000), Ru at (0.000, 0.000, 0.500) and I at (0.500, 0.500, 0.500).

The formation energy from raw total energies comes out at 1.578 eV/atom. The crystal system is cubic. The polymorph energy (0 for the lowest one) comes out at 0.00 kJ per mole of atoms.

***

Entry from Alexandria: a relaxed structure of LiPrMgZn (PBE).

The structure belongs to space group F-43m (No. 216); the cell edges are 7.070, 7.070 and 7.070 Å and the angles 90.00°, 90.00° and 90.00°. The asymmetric unit holds Li at (0.000, 0.000, 0.000), Pr at (0.250, 0.250, 0.750), Mg at (0.250, 0.250, 0.250) and Zn at (0.000, 0.000, 0.500).

The crystal system is cubic. The formation energy from the elements comes out at -0.22 eV per atom.

***

How do the records compare in E_tot? In the order shown, they have -183.216 -61.800 -77.608 -43.802 -33.338 -41.727 eV for the cell shown.